Entry 1:
LiMg8Rh2 | the Alexandria database | GGA-PBE | relaxed; electronic total energy = -2.8530 eV per atom; space group = No. 12; total magnetic moment = 0.00 μB per formula unit
1.0
4.9817 -0.0666 -0.0999
-0.9167 7.1267 -0.0033
-0.9167 -2.7478 6.5756
Mg Rh Li
8 2 1
Cartesian
1.5742 4.5948 1.6115
0.3692 2.6704 4.0081
0.0630 2.1605 0.4032
2.7791 1.6419 2.4643
3.0853 4.7723 4.3233
0.0630 -0.4600 2.1491
3.0853 2.1518 6.0692
1.5742 -0.2825 4.8610
-0.9167 3.9995 2.0802
-0.9167 0.3794 4.4921
2.4908 -0.0333 -0.0499

Entry 2:
LiMg2Rh | the Alexandria database | GGA-PBE | relaxed; electronic total energy = -3.4015 eV per atom; space group = No. 44; total magnetic moment = 0.00 μB per formula unit
1.0
5.3811 0.0074 0.0034
2.5697 4.7278 -0.0034
-3.5297 -3.1160 2.6053
Rh Mg Li
1 2 1
Cartesian
3.9407 2.3470 0.0000
0.0296 0.0176 0.0000
2.7426 -0.4722 1.3044
1.6836 2.0945 1.3010

Entry 3:
Li4MgRh | the Alexandria database | GGA-PBE | relaxed; electronic total energy = -2.7887 eV per atom; space group = No. 216; total magnetic moment = 0.00 μB per formula unit
1.0
0.0000 3.5402 3.5402
3.5402 0.0000 3.5402
3.5402 3.5402 0.0000
Li Mg Rh
4 1 1
Cartesian
2.6391 4.4413 4.4413
2.6391 2.6391 2.6391
4.4413 2.6391 4.4413
4.4413 4.4413 2.6391
5.3102 5.3102 5.3102
0.0000 0.0000 0.0000

Entry 4:
Li5Mg2Rh | the Alexandria database | GGA-PBE | relaxed; electronic total energy = -2.6448 eV per atom; space group = No. 55; total magnetic moment = 0.00 μB per formula unit
1.0
-2.9606 -1.0437 0.6007
0.4407 -4.3295 -5.3500
4.8774 -9.2812 7.9127
Mg Li Rh
4 10 2
Cartesian
3.1599 -11.8482 3.4910
-0.8024 -2.8062 -0.3276
1.6056 -7.1449 4.0018
0.7520 -7.5095 -0.8384
1.1824 -2.2783 1.8693
1.4837 -4.5970 -0.6744
4.1356 -11.3324 0.6934
0.5050 -5.0689 2.1846
0.0000 0.0000 0.0000
2.6590 -6.8054 1.2813
2.9698 -9.9661 5.8239
1.8525 -9.5854 0.9788
3.8343 -9.0137 3.2371
-0.6123 -4.6883 -2.6605
2.4387 -4.6406 3.9563
0.2203 -2.1648 -2.6750

Q: Look up the electronic total energy of the first one.
A: -2.8530 eV per atom

Q: What is the total magnetic moment in the first record?
A: 0.00 μB per formula unit